1.
! Tc2Ru2W | Alexandria | GGA-PBEsol | optimized geometry; values from VASP
&SYSTEM
  ibrav = 0, nat = 5, ntyp = 3
/
ATOMIC_SPECIES
Ru 101.07 Ru.upf
Tc 98.00 Tc.upf
W 183.84 W.upf
CELL_PARAMETERS angstrom
-0.7532 -3.1929 0.7662
2.9516 -0.3140 1.5932
-3.9652 3.8005 4.5335
ATOMIC_POSITIONS angstrom
Ru -2.3226 1.6589 4.6300
Ru 0.5558 -1.3653 2.2629
Tc 0.0428 0.8665 3.6532
Tc -1.8096 -0.5729 3.2397
W 0.0000 0.0000 0.0000
! symmetry = I4/mmm (139)

***

2.
! TcRuW | Alexandria | GGA-PBEsol | optimized geometry; values from VASP
&SYSTEM
  ibrav = 0, nat = 3, ntyp = 3
/
ATOMIC_SPECIES
Ru 101.07 Ru.upf
Tc 98.00 Tc.upf
W 183.84 W.upf
CELL_PARAMETERS angstrom
3.1135 0.0000 0.0000
0.0000 3.1135 0.0000
-1.5567 -1.5567 4.5441
ATOMIC_POSITIONS angstrom
Ru 1.5567 1.5567 4.4781
Tc 1.5567 1.5567 1.6247
W 0.0000 0.0000 2.9854
! symmetry = I4mm (107)
! offset from the most stable computed form = 0 meV per atom

***

3.
! TcRuW2 | Alexandria | GGA-PBEsol | optimized geometry; values from VASP
&SYSTEM
  ibrav = 0, nat = 4, ntyp = 3
/
ATOMIC_SPECIES
Ru 101.07 Ru.upf
Tc 98.00 Tc.upf
W 183.84 W.upf
CELL_PARAMETERS angstrom
2.7599 0.0000 0.0000
1.3799 2.3901 0.0000
1.3799 0.7967 8.9599
ATOMIC_POSITIONS angstrom
Ru 2.7599 1.5934 4.4799
Tc 0.0000 0.0000 0.0000
W 1.3799 0.7967 2.2628
W 4.1398 2.3901 6.6971
! symmetry = R-3m (166)
! offset from the most stable computed form = 69 meV per atom

***

Number 1: theoretical density 12.7 g/cm3, ΔH_f (0 K) 0.64 eV/atom. Number 2: theoretical density 14.4 g/cm3, ΔH_f (0 K) 0.28 eV/atom. Number 3: theoretical density 15.9 g/cm3, ΔH_f (0 K) 0.22 eV/atom.